Below is KCrPd3 after structural relaxation, with properties calculated at the PBE level.

Results
Energy relative to the lowest polymorph listed for this composition (meV per atom): 1439
Formation energy (eV/atom): 2.047
SG: Pm-3m

Lattice parameters (Å, degrees): 4.876 4.876 4.876 90.00 90.00 90.00
Fractional positions:
Cr 0.500 0.500 0.500
K 0.000 0.000 0.000
Pd 0.000 0.500 0.000
Pd 0.000 0.000 0.500
Pd 0.500 0.000 0.000